(1)
Below is crystalline TbCe2Ho3P6 at its relaxed geometry, with properties calculated at the PBE level.

The total magnetization comes out at 0.81 μB/cell. Its symmetry is C2/m, No. 12. For the energy of formation, the calculation gives -1.580 eV/atom.

a = 6.9727 Å, b = 6.9727 Å, c = 6.9617 Å
α = 99.61°, β = 99.61°, γ = 120.00°
Last column: nearest neighbours and their distance in Å.
Sites, in units of the cell vectors:
P 0.2487 0.2487 0.7460  3 Ho 2.83, 2 Ce 2.86, 1 Tb 2.86
P 0.5823 0.9158 0.7472  3 Ho 2.83-2.84, 2 Ce 2.86, 1 Tb 2.86
P 0.9158 0.5823 0.7472  3 Ho 2.83-2.84, 2 Ce 2.86, 1 Tb 2.86
P 0.4177 0.0842 0.2528  3 Ho 2.83-2.84, 2 Ce 2.86, 1 Tb 2.86
P 0.7513 0.7513 0.2540  3 Ho 2.83, 2 Ce 2.86, 1 Tb 2.86
P 0.0842 0.4177 0.2528  3 Ho 2.83-2.84, 2 Ce 2.86, 1 Tb 2.86
Tb 0.0000 0.0000 0.0000  6 P 2.86
Ho 0.1666 0.8334 0.5000  6 P 2.83
Ho 0.5000 0.5000 0.5000  6 P 2.83-2.84
Ho 0.8334 0.1666 0.5000  6 P 2.83
Ce 0.6666 0.3334 0.0000  6 P 2.86
Ce 0.3334 0.6666 0.0000  6 P 2.86

---

(2)
Below is crystalline RbGeI6 at its relaxed geometry, with properties calculated at the PBE level.

The total magnetization comes out at 0.00 μB/cell. For the uncorrected formation energy, the calculation gives -0.35 eV per atom. Its symmetry is R-3m, No. 166.

a = 7.2801 Å, b = 7.2801 Å, c = 7.2801 Å
α = 105.21°, β = 105.21°, γ = 105.21°
Last column: nearest neighbours and their distance in Å.
Sites, in units of the cell vectors:
I 0.4400 0.8013 0.8013  1 Ge 2.88
I 0.8013 0.4400 0.8013  1 Ge 2.88
I 0.1987 0.1987 0.5600  1 Ge 2.88
I 0.5600 0.1987 0.1987  1 Ge 2.88
I 0.8013 0.8013 0.4400  1 Ge 2.88
I 0.1987 0.5600 0.1987  1 Ge 2.88
Ge 0.5000 0.5000 0.5000  6 I 2.88
Rb 0.0000 0.0000 0.0000  6 I 3.68

---

(3)
Below is crystalline PuGa5Fe at its relaxed geometry, with properties calculated at the PBE level.

The total magnetization comes out at 7.52 μB/cell. Its symmetry is P4/mmm, No. 123. For the energy of formation, the calculation gives -0.102 eV/atom.

a = 4.2096 Å, b = 4.2095 Å, c = 7.3173 Å
α = 90.00°, β = 90.00°, γ = 90.00°
Last column: nearest neighbours and their distance in Å.
Sites, in units of the cell vectors:
Ga 0.0000 0.5000 0.1863  2 Fe 2.51, 1 Ga 2.73
Ga 0.5000 0.0000 0.8137  2 Fe 2.51, 1 Ga 2.73
Ga 0.5000 0.5000 0.5000  4 Pu 2.98, 8 Ga 3.11
Ga 0.5000 0.0000 0.1863  2 Fe 2.51, 1 Ga 2.73
Ga 0.0000 0.5000 0.8137  2 Fe 2.51, 1 Ga 2.73
Fe 0.5000 0.5000 0.0000  8 Ga 2.51
Pu 0.0000 0.0000 0.5000  12 Ga 2.98-3.11

---

(4)
Below is crystalline Sm2ErSi2 at its relaxed geometry, with properties calculated at the PBE level.

For the excess energy over the best structure of this formula in the dataset, the calculation gives 0.39 eV/f.u. The total magnetization comes out at 0.00 μB/cell. For the uncorrected formation energy, the calculation gives -0.63 eV per atom. Its symmetry is C2/m, No. 12.

a = 4.3239 Å, b = 6.5262 Å, c = 9.7985 Å
α = 78.03°, β = 77.25°, γ = 70.65°
Last column: nearest neighbours and their distance in Å.
Sites, in units of the cell vectors:
Sm 0.4843 0.3429 0.6884  6 Si 3.08-3.19
Sm 0.3207 0.2683 0.0902  4 Si 3.06-3.27
Sm 0.6793 0.7317 0.9098  4 Si 3.06-3.27
Sm 0.5157 0.6571 0.3116  6 Si 3.08-3.19
Si 0.1103 0.3353 0.4440  1 Si 2.43
Si 0.0129 0.8680 0.1063  1 Si 2.41
Si 0.9871 0.1320 0.8937  1 Si 2.41
Si 0.8897 0.6647 0.5560  1 Si 2.43
Er 0.7761 0.0821 0.3657  4 Si 2.83-2.97
Er 0.2239 0.9179 0.6343  4 Si 2.83-2.97

---

(5)
Below is crystalline DyYIrPt at its relaxed geometry, with properties calculated at the PBE level.

The total magnetization comes out at 0.00 μB/cell. Its symmetry is F-43m, No. 216. For the energy of formation, the calculation gives -1.009 eV/atom.

a = 4.8980 Å, b = 4.8980 Å, c = 4.8980 Å
α = 60.00°, β = 60.00°, γ = 60.00°
Last column: nearest neighbours and their distance in Å.
Sites, in units of the cell vectors:
Dy 0.0000 0.0000 0.0000  4 Pt 3.00, 4 Ir 3.00
Pt 0.7500 0.7500 0.7500  4 Dy 3.00, 4 Y 3.00
Ir 0.2500 0.2500 0.2500  4 Dy 3.00, 4 Y 3.00
Y 0.5000 0.5000 0.5000  4 Ir 3.00, 4 Pt 3.00

---

(6)
Below is crystalline LiCdAs at its relaxed geometry, with properties calculated at the PBE level.

The total magnetization comes out at 0.00 μB/cell. Its symmetry is I4mm, No. 107. For the energy of formation, the calculation gives -0.183 eV/atom.

a = 6.8629 Å, b = 6.8632 Å, c = 2.9666 Å
α = 77.51°, β = 77.52°, γ = 24.96°
Last column: nearest neighbours and their distance in Å.
Sites, in units of the cell vectors:
Li 0.3431 0.3431 0.6569  4 As 2.78, 4 Li 2.97, 4 Cd 3.04
As 0.9822 0.9822 0.0178  4 Li 2.78, 4 As 2.97
Cd 0.6747 0.6747 0.3253  4 Cd 2.97, 4 Li 3.04, 4 As 3.28